Run 1
Entry from Alexandria: Ru2Rh at its PBEsol-relaxed geometry (SCAN).

Properties
magnetization: 0.00 μB per formula unit

Geometry as extended XYZ:
```
12
Lattice="5.3256 0.0000 0.0000 0.0000 3.7597 0.0000 0.0000 0.0000 8.0114" Properties=species:S:1:pos:R:3 pbc="T T T"
Ru 0.6360 0.9399 0.6570
Ru 0.6628 0.9399 6.0527
Ru 1.9999 2.8198 2.0470
Ru 2.0268 2.8198 4.6627
Ru 3.2988 0.9399 3.3487
Ru 3.3256 0.9399 5.9644
Ru 4.6627 2.8198 1.9587
Ru 4.6896 2.8198 7.3545
Rh 0.6701 0.9399 3.3123
Rh 1.9926 2.8198 7.3181
Rh 3.3329 0.9399 0.6934
Rh 4.6554 2.8198 4.6991
```

---

Run 2
Entry from Alexandria: Ru2Rh at its PBEsol-relaxed geometry (SCAN).

Properties
magnetization: 0.00 μB per formula unit

Geometry as extended XYZ:
```
6
Lattice="4.8585 -1.3425 0.0000 4.8585 1.3425 0.0000 -1.5083 0.0000 6.1307" Properties=species:S:1:pos:R:3 pbc="T T T"
Ru 0.0000 0.0000 0.0000
Ru -0.3835 0.0000 3.7556
Ru 3.3722 0.0000 1.6966
Ru 5.5800 0.0000 5.7994
Rh 2.2422 0.0000 4.1110
Rh 5.9670 0.0000 2.0326
```

---

Most stable = run 2

---

Run 1
Entry from Alexandria: Ru2Rh at its PBEsol-relaxed geometry (SCAN).

Properties
magnetization: 0.00 μB per formula unit

Geometry as extended XYZ:
```
3
Lattice="2.6620 0.0000 0.0000 -1.3310 2.3053 0.0000 0.0000 0.0000 6.5267" Properties=species:S:1:pos:R:3 pbc="T T T"
Ru 0.0000 1.5369 1.0500
Ru 1.3310 0.7684 5.4767
Rh 0.0000 0.0000 3.2633
```

---

Run 2
Entry from Alexandria: Ru2Rh at its PBEsol-relaxed geometry (SCAN).

Properties
magnetization: 0.00 μB per formula unit

Geometry as extended XYZ:
```
6
Lattice="1.8858 -5.6346 0.0000 1.8858 5.6346 0.0000 0.0000 0.0000 3.7641" Properties=species:S:1:pos:R:3 pbc="T T T"
Ru 1.8858 4.6728 2.8231
Ru 1.8858 2.8026 0.9410
Ru 1.8858 -2.8026 2.8231
Ru 1.8858 -4.6728 0.9410
Rh 1.8858 0.9459 2.8231
Rh 1.8858 -0.9459 0.9410
```

---

Run 3
Entry from Alexandria: Ru2Rh at its PBEsol-relaxed geometry (SCAN).

Properties
magnetization: 0.00 μB per formula unit

Geometry as extended XYZ:
```
3
Lattice="-1.3328 1.3328 5.6588 1.3328 -1.3328 5.6588 1.3328 1.3328 -5.6588" Properties=species:S:1:pos:R:3 pbc="T T T"
Ru 0.0000 0.0000 1.9192
Ru 0.0000 0.0000 9.3984
Rh 0.0000 0.0000 5.6588
```

---

Most stable = run 3

---

Run 1
Entry from Alexandria: RuRh2 at its PBEsol-relaxed geometry (SCAN).

Properties
magnetization: 0.00 μB per formula unit

Geometry as extended XYZ:
```
3
Lattice="2.6615 0.0000 0.0000 -1.3308 2.3050 0.0000 0.0000 0.0000 6.5364" Properties=species:S:1:pos:R:3 pbc="T T T"
Ru 0.0000 0.0000 0.0000
Rh 0.0000 1.5366 4.3884
Rh 1.3308 0.7683 2.1480
```

---

Run 2
Entry from Alexandria: RuRh2 at its PBEsol-relaxed geometry (SCAN).

Properties
magnetization: 0.00 μB per formula unit

Geometry as extended XYZ:
```
3
Lattice="-1.3324 1.3324 5.6640 1.3324 -1.3324 5.6640 1.3324 1.3324 -5.6640" Properties=species:S:1:pos:R:3 pbc="T T T"
Ru 0.0000 0.0000 0.0000
Rh 0.0000 0.0000 3.8173
Rh 0.0000 0.0000 7.5106
```

---

Most stable = run 2

---

Run 1
Entry from Alexandria: RuRh4 at its PBEsol-relaxed geometry (SCAN).

Properties
magnetization: 0.00 μB per formula unit

Geometry as extended XYZ:
```
5
Lattice="1.3333 0.7698 10.9009 -1.3333 0.7698 10.9009 0.0000 -1.5396 10.9009" Properties=species:S:1:pos:R:3 pbc="T T T"
Ru 0.0000 0.0000 0.0000
Rh 0.0000 0.0000 6.5367
Rh 0.0000 0.0000 13.0511
Rh 0.0000 0.0000 19.6514
Rh 0.0000 0.0000 26.1659
```

---

Run 2
Entry from Alexandria: RuRh4 at its PBEsol-relaxed geometry (SCAN).

Properties
magnetization: 0.00 μB per formula unit

Geometry as extended XYZ:
```
5
Lattice="-2.9843 2.9843 1.8834 2.9843 -2.9843 1.8834 2.9843 2.9843 -1.8834" Properties=species:S:1:pos:R:3 pbc="T T T"
Ru 0.0000 0.0000 0.0000
Rh 3.5937 1.2031 0.0000
Rh 1.2031 2.3748 0.0000
Rh 1.7812 0.6095 1.8834
Rh -0.6095 1.7812 1.8834
```

---

Most stable = run 1

---

Run 1
Entry from Alexandria: TeRuRh at its PBEsol-relaxed geometry (SCAN).

Properties
magnetization: 0.00 μB per formula unit

Geometry as extended XYZ:
```
3
Lattice="3.0666 0.0000 0.0000 -1.5333 2.6557 0.0000 0.0000 0.0000 6.0399" Properties=species:S:1:pos:R:3 pbc="T T T"
Te 0.0000 0.0000 0.0000
Ru 0.0000 1.7705 1.9557
Rh 1.5333 0.8852 4.0323
```

---

Run 2
Entry from Alexandria: TeRuRh at its PBEsol-relaxed geometry (SCAN).

Properties
magnetization: 0.00 μB per formula unit

Geometry as extended XYZ:
```
3
Lattice="4.2296 0.0000 0.0000 -2.1148 3.6629 0.0000 0.0000 0.0000 3.1674" Properties=species:S:1:pos:R:3 pbc="T T T"
Te 0.0000 0.0000 0.0000
Ru 2.1148 1.2210 2.3963
Rh 0.0000 2.4420 0.8874
```

---

Most stable = run 2

---

Run 1
Entry from Alexandria: Tl2RuRh at its PBEsol-relaxed geometry (SCAN).

Properties
magnetization: 0.00 μB per formula unit

Geometry as extended XYZ:
```
4
Lattice="4.3655 0.0000 0.0000 0.0000 1.6339 5.0560 0.0000 -1.6339 5.0560" Properties=species:S:1:pos:R:3 pbc="T T T"
Tl 0.0000 0.0000 0.0000
Tl 2.1828 0.0000 2.8662
Ru 0.0000 0.0000 7.3656
Rh 2.1828 0.0000 5.6279
```

---

Run 2
Entry from Alexandria: Tl2RuRh at its PBEsol-relaxed geometry (SCAN).

Properties
magnetization: 0.00 μB per formula unit

Geometry as extended XYZ:
```
4
Lattice="1.5683 0.9055 8.3527 -1.5683 0.9055 8.3527 0.0000 -1.8110 8.3527" Properties=species:S:1:pos:R:3 pbc="T T T"
Tl 0.0000 0.0000 6.2504
Tl 0.0000 0.0000 18.8077
Ru 0.0000 0.0000 0.0000
Rh 0.0000 0.0000 12.5291
```

---

Most stable = run 1